PBEsol BaNb3S, relaxed; E = -25.45 eV per formula unit; N(E_F) = 5.21 states/eV/f.u.; energy relative to the elements, uncorrected = 2.710 eV/atom; size of the total moment = 0.0 μB/f.u.; crystal system = cubic
1.0
5.027 0.000 0.000
0.000 5.027 0.000
0.000 0.000 5.027
Ba Nb S
1 3 1
Cartesian
0.000 0.000 0.000 Ba
0.000 0.000 2.513 Nb
0.000 2.513 0.000 Nb
2.513 0.000 0.000 Nb
2.513 2.513 2.513 S